## LiMnFeP2 (PBE-GGA)

Data for crystalline LiMnFeP2 at its relaxed geometry.

```
5
Lattice="-2.808 -2.533 -0.179 2.098 -2.463 1.966 -1.353 4.119 2.959" Properties=species:S:1:pos:R:3 pbc="T T T"
Li 0.000 0.000 0.000
Mn -2.258 -0.457 1.837
Fe 0.195 -0.422 2.909
P -0.786 -2.090 1.865
P -1.277 1.212 2.881
```

## Properties
The total energy comes out at -6.638 eV/atom. The density of states at the Fermi level is 3.73 states/eV/cell. Its total magnetic moment is 0.0 μB per cell.